Record 1
Density functional theory data (GGA-PBE) for a relaxed structure of La3Nd2Ru2.

The structure in POSCAR format:
```
La3Nd2Ru2
1.0
6.2404 -1.9909 0.0000
6.2404 1.9909 0.0000
-3.8311 0.0000 8.2807
La Nd Ru
3 2 2
direct
0.0000 0.0000 0.0000 La
0.1175 0.1175 0.4227 La
0.8825 0.8825 0.5773 La
0.3265 0.3265 0.1883 Nd
0.6735 0.6735 0.8117 Nd
0.3213 0.3213 0.7587 Ru
0.6787 0.6787 0.2413 Ru
```

Calculated values
E_form: -0.22 eV/atom
Space group: C2/m (12)
DOS at the Fermi energy: 5.921 states/eV per cell
DFT total energy: -6.345 eV per atom
ρ: 7.3 g/cm3

***

Record 2
Density functional theory data (GGA-PBE) for a relaxed structure of La6NdRu4.

The structure in POSCAR format:
```
La6NdRu4
1.0
6.8389 0.0000 0.0000
-2.6800 6.3620 0.0000
-1.2843 -1.4893 6.9916
La Nd Ru
6 1 4
direct
0.0000 0.0000 0.0000 La
0.0310 0.2825 0.5985 La
0.3528 0.6953 0.0406 La
0.5093 0.7648 0.5628 La
0.6415 0.3006 0.9613 La
0.9550 0.7173 0.3989 La
0.4782 0.2365 0.4403 Nd
0.1398 0.3910 0.2611 Ru
0.2713 0.9749 0.7241 Ru
0.7201 0.0226 0.2710 Ru
0.8491 0.6074 0.7350 Ru
```

Calculated values
E_form: -0.21 eV/atom
Space group: P1 (1)
DOS at the Fermi energy: 6.197 states/eV per cell
DFT total energy: -6.704 eV per atom
ρ: 7.5 g/cm3